No. 1
Here is an optimized crystal structure of Nd2Sc2CI4Cl from OQMD. Energies are from PBE.

The structure belongs to space group C2/m (No. 12); the cell edges are 18.607, 3.879 and 8.392 Å and the angles 90.00°, 102.83° and 90.00°. The distinct sites, in fractional coordinates, are Nd at (0.136, 0.000, 0.070), Sc at (0.001, 0.500, 0.819), C at (0.000, 0.000, 0.000), I at (0.155, 0.500, 0.363), I at (0.162, 0.500, 0.796) and Cl at (0.000, 0.000, 0.500).

The raw total energy comes out at -0.1846 Ha/atom. Its spin magnetization is 0.01 μB/f.u. The offset from the most stable computed form comes out at 122.1 meV/atom.

---

No. 2
Here is an optimized crystal structure of Nd2Sc2CI4Cl from OQMD. Energies are from PBE.

The structure belongs to space group C2/m (No. 12); the cell edges are 20.860, 3.887 and 8.178 Å and the angles 90.00°, 101.01° and 90.00°. The distinct sites, in fractional coordinates, are Nd at (0.000, 0.000, 0.214), Sc at (0.110, 0.500, 0.054), C at (0.000, 0.500, 0.000), I at (0.155, 0.000, 0.323), I at (0.156, 0.000, 0.830) and Cl at (0.000, 0.500, 0.500).

The raw total energy comes out at -0.1891 Ha/atom. Its spin magnetization is 0.24 μB/f.u. The offset from the most stable computed form comes out at 0.0 meV/atom.

---

No. 3
Here is an optimized crystal structure of Nd2Sm2C2I2Cl3 from OQMD. Energies are from PBE.

The structure belongs to space group C2/m (No. 12); the cell edges are 19.249, 3.902 and 8.087 Å and the angles 90.00°, 102.19° and 90.00°. The distinct sites, in fractional coordinates, are Nd at (0.157, 0.000, 0.077), Sm at (0.003, 0.500, 0.796), C at (0.037, 0.000, 0.016), I at (0.162, 0.500, 0.380), Cl at (0.000, 0.000, 0.500) and Cl at (0.169, 0.500, 0.827).

The raw total energy comes out at -0.2032 Ha/atom. Its spin magnetization is 0.01 μB/f.u. The offset from the most stable computed form comes out at 43.7 meV/atom.

---

No. 4
Here is an optimized crystal structure of Nd2Sm2C2I2Cl3 from OQMD. Energies are from PBE.

The structure belongs to space group C2/m (No. 12); the cell edges are 19.815, 3.920 and 8.056 Å and the angles 90.00°, 102.68° and 90.00°. The distinct sites, in fractional coordinates, are Nd at (0.002, 0.000, 0.210), Sm at (0.151, 0.500, 0.095), C at (0.036, 0.500, 0.020), I at (0.169, 0.000, 0.801), Cl at (0.000, 0.500, 0.500) and Cl at (0.154, 0.000, 0.341).

The raw total energy comes out at -0.2048 Ha/atom. Its spin magnetization is 0.01 μB/f.u. The offset from the most stable computed form comes out at 0.0 meV/atom.